# 1
Compound: Co2HgH2
Source: the Alexandria database
Functional: PBE
Structure: optimized geometry

POSCAR file:
```
Co2HgH2
1.0
-1.7152 1.7152 4.4928
1.7152 -1.7152 4.4928
1.7152 1.7152 -4.4928
Co Hg H
2 1 2
direct
0.2500 0.7500 0.5000
0.7500 0.2500 0.5000
0.0000 0.0000 0.0000
0.3031 0.3031 0.0000
0.6969 0.6969 0.0000
```

Summary:
relative energy among the computed polymorphs	25	meV per atom

# 2
Compound: TcRuC2
Source: the Alexandria database
Functional: PBE
Structure: optimized geometry

POSCAR file:
```
TcRuC2
1.0
0.0000 2.6728 2.6728
2.6728 0.0000 2.6728
2.6728 2.6728 0.0000
Tc Ru C
1 1 2
direct
0.0000 0.0000 0.0000
0.5000 0.5000 0.5000
0.2500 0.2500 0.2500
0.7500 0.7500 0.7500
```

Summary:
ΔE_f	1.050	eV/atom
relative energy among the computed polymorphs	517	meV per atom

# 3
Compound: ZrInCuAg
Source: the Alexandria database
Functional: PBE
Structure: optimized geometry

POSCAR file:
```
ZrInCuAg
1.0
0.0000 3.3265 3.3265
3.3265 0.0000 3.3265
3.3265 3.3265 0.0000
Zr In Cu Ag
1 1 1 1
direct
0.0000 0.0000 0.0000
0.5000 0.5000 0.5000
0.7500 0.7500 0.7500
0.2500 0.2500 0.2500
```

Summary:
ΔE_f	-0.136	eV/atom

# 4
Compound: KRbTl
Source: the Alexandria database
Functional: PBE
Structure: optimized geometry

POSCAR file:
```
KRbTl
1.0
0.0000 4.4573 4.4573
4.4573 0.0000 4.4573
4.4573 4.4573 0.0000
K Rb Tl
1 1 1
direct
0.0000 0.0000 0.0000
0.5000 0.5000 0.5000
0.7500 0.7500 0.7500
```

Summary:
ΔE_f	0.090	eV/atom
relative energy among the computed polymorphs	146	meV per atom

# 5
Compound: ThCdAgPt
Source: the Alexandria database
Functional: PBE
Structure: optimized geometry

POSCAR file:
```
ThCdAgPt
1.0
0.0000 3.5314 3.5314
3.5314 0.0000 3.5314
3.5314 3.5314 0.0000
Th Cd Ag Pt
1 1 1 1
direct
0.0000 0.0000 0.0000
0.5000 0.5000 0.5000
0.2500 0.2500 0.2500
0.7500 0.7500 0.7500
```

Summary:
ΔE_f	-0.508	eV/atom

# 6
Compound: Er2ThS
Source: the Alexandria database
Functional: PBE
Structure: optimized geometry

POSCAR file:
```
Er2ThS
1.0
1.7890 1.0329 10.0920
-1.7890 1.0329 10.0920
0.0000 -2.0657 10.0920
Er Th S
2 1 1
direct
0.1115 0.1115 0.1115
0.8885 0.8885 0.8885
0.0000 0.0000 0.0000
0.5000 0.5000 0.5000
```

Summary:
formation energy without anion corrections	-0.691	eV per atom

Please write out number 1 again, unchanged.
Compound: Co2HgH2
Source: the Alexandria database
Functional: PBE
Structure: optimized geometry

POSCAR file:
```
Co2HgH2
1.0
-1.7152 1.7152 4.4928
1.7152 -1.7152 4.4928
1.7152 1.7152 -4.4928
Co Hg H
2 1 2
direct
0.2500 0.7500 0.5000
0.7500 0.2500 0.5000
0.0000 0.0000 0.0000
0.3031 0.3031 0.0000
0.6969 0.6969 0.0000
```

Summary:
relative energy among the computed polymorphs	25	meV per atom